First-principles (PBE) data for TlVSnPd2 after structural relaxation, as listed in Alexandria.

Calculated values
Total magnetization, μB per formula unit: 1.54
E_tot, Ry/atom: -0.3344

Unit cell a=4.7478 b=4.7478 c=5.2346 alpha=90.00 beta=90.00 gamma=90.00
Fractional coordinates of all 5 atoms:
1 Tl 0.0000 0.0000 0.0000
2 V 0.0000 0.0000 0.5000
3 Sn 0.5000 0.5000 0.0000
4 Pd 0.0000 0.5000 0.5000
5 Pd 0.5000 0.0000 0.5000